Record 1
VASP calculation (PBE-GGA) on NpInPt2 after structural relaxation.

Cell and atoms, written as POSCAR:
```
NpInPt2
1.0
-3.501 -0.207 1.269
-0.384 -3.941 -1.700
3.480 -1.972 3.788
In Np Pt
1 1 2
direct
0.726 0.000 0.990 In
0.440 0.500 0.419 Np
0.995 0.000 0.529 Pt
0.170 0.500 0.880 Pt
```

Summary:
- ΔE_f (kJ/mol of atoms) = -50
- symmetry = Amm2 (38)
- VASP energy (eV/cell) = -29.85
- V (Å³ per atom) = 20.8

---

Record 2
VASP calculation (PBE-GGA) on CuAsH3 after structural relaxation.

Cell and atoms, written as POSCAR:
```
CuAsH3
1.0
3.507 0.000 0.000
0.000 3.507 0.000
0.000 0.000 3.507
H As Cu
3 1 1
direct
0.500 0.000 0.000 H
0.000 0.500 0.000 H
0.000 0.000 0.500 H
0.500 0.500 0.500 As
0.000 0.000 0.000 Cu
```

Summary:
- symmetry = Pm-3m (221)
- VASP energy (eV/cell) = -15.29
- V (Å³ per atom) = 8.6

---

Record 3
VASP calculation (PBE-GGA) on CaIrCl after structural relaxation.

Cell and atoms, written as POSCAR:
```
CaIrCl
1.0
4.263 0.000 0.000
-2.132 3.692 0.000
0.000 0.000 3.762
Ir Cl Ca
1 1 1
direct
0.333 0.667 0.500 Ir
0.667 0.333 0.500 Cl
0.000 0.000 0.000 Ca
```

Summary:
- ΔE_f (raw) (meV/atom) = -229.8
- symmetry = P-6m2 (187)
- VASP energy (eV/cell) = -13.40
- V (Å³ per atom) = 19.7

---

Record 4
VASP calculation (PBE-GGA) on YFeRu2 after structural relaxation.

Cell and atoms, written as POSCAR:
```
YFeRu2
1.0
4.748 -0.122 0.058
3.844 2.789 0.058
1.351 0.419 4.966
Y Fe Ru
1 1 2
direct
0.250 0.250 0.250 Y
0.750 0.750 0.750 Fe
0.022 0.022 0.940 Ru
0.478 0.478 0.560 Ru
```

Summary:
- ΔE_f (kJ/mol of atoms) = 15
- symmetry = C2/m (12)
- VASP energy (eV/cell) = -32.87
- V (Å³ per atom) = 17.0

---

Record 5
VASP calculation (PBE-GGA) on AlCrSi3 after structural relaxation.

Cell and atoms, written as POSCAR:
```
AlCrSi3
1.0
4.491 0.000 0.000
0.000 4.491 0.000
0.000 0.000 4.491
Al Cr Si
1 1 3
direct
0.500 0.500 0.500 Al
0.000 0.000 0.000 Cr
0.500 0.000 0.000 Si
0.000 0.500 0.000 Si
0.000 0.000 0.500 Si
```

Summary:
- ΔE_f (raw) (meV/atom) = 448.9
- symmetry = Pm-3m (221)
- VASP energy (eV/cell) = -27.39
- V (Å³ per atom) = 18.1

---

Record 6
VASP calculation (PBE-GGA) on Be3SbPt after structural relaxation.

Cell and atoms, written as POSCAR:
```
Be3SbPt
1.0
-0.417 -1.146 4.176
4.329 -0.231 0.368
0.125 4.191 1.163
Be Pt Sb
3 1 1
direct
0.000 0.500 0.000 Be
0.000 0.000 0.500 Be
0.500 0.000 0.000 Be
0.000 0.000 0.000 Pt
0.500 0.500 0.500 Sb
```

Summary:
- ΔE_f (raw) (meV/atom) = 235.5
- symmetry = Pm-3m (221)
- VASP energy (eV/cell) = -20.16
- V (Å³ per atom) = 16.5

---

Record 7
VASP calculation (PBE-GGA) on ErRuPb2O8 after structural relaxation.

Cell and atoms, written as POSCAR:
```
ErRuPb2O8
1.0
-4.815 0.666 1.180
-0.186 -4.590 1.934
1.797 2.438 5.957
Ru O Er Pb
1 8 1 2
direct
0.000 0.000 0.000 Ru
0.712 0.717 0.000 O
0.690 0.693 0.500 O
0.310 0.307 0.500 O
0.182 0.814 0.221 O
0.818 0.186 0.779 O
0.182 0.814 0.779 O
0.818 0.186 0.221 O
0.288 0.283 0.000 O
0.000 0.000 0.500 Er
0.500 0.500 0.755 Pb
0.500 0.500 0.245 Pb
```

Summary:
- ΔE_f (raw) (meV/atom) = -1385.7
- symmetry = P2/m (10)
- VASP energy (eV/cell) = -77.55
- V (Å³ per atom) = 13.9

---

Record 8
VASP calculation (PBE-GGA) on Sr2PaIrO8 after structural relaxation.

Cell and atoms, written as POSCAR:
```
Sr2PaIrO8
1.0
-4.854 -2.165 0.059
2.301 -4.767 0.583
-0.238 0.718 6.814
Pa Sr O Ir
1 2 8 1
direct
0.000 0.000 0.500 Pa
0.500 0.500 0.243 Sr
0.500 0.500 0.757 Sr
0.751 0.751 0.000 O
0.830 0.169 0.220 O
0.728 0.727 0.500 O
0.170 0.831 0.220 O
0.830 0.169 0.780 O
0.272 0.273 0.500 O
0.249 0.249 0.000 O
0.170 0.831 0.780 O
0.000 0.000 0.000 Ir
```

Summary:
- ΔE_f (raw) (meV/atom) = -2196.4
- symmetry = P2/m (10)
- VASP energy (eV/cell) = -87.74
- V (Å³ per atom) = 16.2

---

Question: What is the VASP energy in the second record?
Answer: -15.29 eV/cell

---

Question: What is the formula in the seventh record?
Answer: ErRuPb2O8